Run one
This record from Alexandria via LeMat-Bulk describes an optimized crystal structure of Mg6VCdO8. The functional is PBE+U.

The structure in POSCAR format:
```
Mg6VCdO8
1.0
4.371 0.000 0.000
0.000 4.371 0.000
0.000 0.000 8.786
Mg V Cd O
6 1 1 8
direct
0.000 0.000 0.000
0.000 0.000 0.500
0.000 0.500 0.246
0.000 0.500 0.754
0.500 0.000 0.246
0.500 0.000 0.754
0.500 0.500 0.000
0.500 0.500 0.500
0.000 0.000 0.250
0.000 0.000 0.750
0.000 0.500 0.000
0.000 0.500 0.500
0.500 0.000 0.000
0.500 0.000 0.500
0.500 0.500 0.240
0.500 0.500 0.760
```

Values from the calculation:
Space-group type: No. 123

***

Run two
This record from Alexandria via LeMat-Bulk describes an optimized crystal structure of Mg6VCdO8. The functional is PBE+U.

The structure in POSCAR format:
```
Mg6VCdO8
1.0
4.384 0.000 0.000
0.000 4.384 0.000
0.000 0.000 8.708
Mg V Cd O
6 1 1 8
direct
0.000 0.000 0.000
0.000 0.500 0.243
0.000 0.500 0.757
0.500 0.000 0.243
0.500 0.000 0.757
0.500 0.500 0.000
0.000 0.000 0.500
0.500 0.500 0.500
0.000 0.000 0.245
0.000 0.000 0.755
0.000 0.500 0.000
0.000 0.500 0.500
0.500 0.000 0.000
0.500 0.000 0.500
0.500 0.500 0.233
0.500 0.500 0.767
```

Values from the calculation:
Space-group type: No. 123

***

Question: of the structures shown, which is the least stable? Reply: run one.